No. 1
! Ba2Hg5Pd3 PBE-GGA relaxed; values from VASP
! **Total moment**: 0.00 μB per formula unit
! **DFT total energy**: -2.5036 eV/atom
! **V**: 26.9 A^3/atom
&SYSTEM
  ibrav = 0, nat = 20, ntyp = 3
/
ATOMIC_SPECIES
Hg 200.59 Hg.upf
Ba 137.33 Ba.upf
Pd 106.42 Pd.upf
ATOMIC_POSITIONS angstrom
Hg 8.649 7.868 6.735
Ba 3.460 5.922 1.261
Pd 3.460 3.130 4.587
Hg 3.460 1.375 6.633
Hg 5.189 5.348 4.578
Hg 6.919 6.765 0.335
Pd 1.730 0.000 0.000
Hg 8.649 2.829 2.421
Ba 10.379 4.775 7.896
Ba 6.919 8.538 3.500
Hg 5.189 7.868 6.735
Hg 8.649 5.348 4.578
Hg 6.919 3.931 8.821
Hg 10.379 9.322 2.524
Pd 5.189 0.000 0.000
Hg 5.189 2.829 2.421
Ba 6.919 2.159 5.657
Pd 10.379 7.567 4.569
Pd 6.919 5.015 2.385
Pd 6.919 5.682 6.771
CELL_PARAMETERS angstrom
6.919 0.000 0.000
3.460 8.935 0.388
3.460 1.762 8.768

***

No. 2
! Li4OsSe PBE-GGA relaxed; values from VASP
! **Total moment**: 0.00 μB per formula unit
! **Formation energy without anion corrections**: 0.2539 eV/atom
! **V**: 13.0 A^3/atom
&SYSTEM
  ibrav = 0, nat = 6, ntyp = 3
/
ATOMIC_SPECIES
Li 6.94 Li.upf
Se 78.96 Se.upf
Os 190.23 Os.upf
ATOMIC_POSITIONS angstrom
Li -6.381 -0.919 -0.777
Se 0.000 0.000 0.000
Li -4.408 -0.365 0.359
Li -6.392 0.791 0.825
Li -6.152 -1.441 1.496
Os -8.750 -0.725 0.714
CELL_PARAMETERS angstrom
-3.569 -2.201 2.325
-4.060 2.367 0.952
-4.037 -1.133 -2.326

***

No. 3
! Nd2PaTl2Se6 PBE-GGA relaxed; values from VASP
! **Total moment**: 1.08 μB per formula unit
! **Formation energy without anion corrections**: -1.3730 eV/atom
! **V**: 33.5 A^3/atom
&SYSTEM
  ibrav = 0, nat = 11, ntyp = 4
/
ATOMIC_SPECIES
Nd 144.24 Nd.upf
Se 78.96 Se.upf
Pa 231.04 Pa.upf
Tl 204.38 Tl.upf
ATOMIC_POSITIONS angstrom
Nd 3.037 0.986 3.943
Se 4.255 3.223 2.384
Pa -0.665 -1.143 3.877
Se 1.694 -1.179 5.502
Se 0.699 5.292 2.384
Se 0.536 0.922 2.304
Tl 5.521 1.070 0.066
Se 1.857 3.191 5.582
Tl -1.798 5.329 0.066
Se -1.862 0.890 5.502
Nd -0.644 3.127 3.943
CELL_PARAMETERS angstrom
7.384 -0.013 0.066
-3.661 6.412 0.066
-1.330 -2.285 7.754

***

Among the records above, which one has the highest V? Nd2PaTl2Se6

***

Please write out number 3 again, unchanged.
! Nd2PaTl2Se6 PBE-GGA relaxed; values from VASP
! **Total moment**: 1.08 μB per formula unit
! **Formation energy without anion corrections**: -1.3730 eV/atom
! **V**: 33.5 A^3/atom
&SYSTEM
  ibrav = 0, nat = 11, ntyp = 4
/
ATOMIC_SPECIES
Nd 144.24 Nd.upf
Se 78.96 Se.upf
Pa 231.04 Pa.upf
Tl 204.38 Tl.upf
ATOMIC_POSITIONS angstrom
Nd 3.037 0.986 3.943
Se 4.255 3.223 2.384
Pa -0.665 -1.143 3.877
Se 1.694 -1.179 5.502
Se 0.699 5.292 2.384
Se 0.536 0.922 2.304
Tl 5.521 1.070 0.066
Se 1.857 3.191 5.582
Tl -1.798 5.329 0.066
Se -1.862 0.890 5.502
Nd -0.644 3.127 3.943
CELL_PARAMETERS angstrom
7.384 -0.013 0.066
-3.661 6.412 0.066
-1.330 -2.285 7.754

***

Which of these has the highest V? Nd2PaTl2Se6

***

Copy entry 1 word for word.
! Ba2Hg5Pd3 PBE-GGA relaxed; values from VASP
! **Total moment**: 0.00 μB per formula unit
! **DFT total energy**: -2.5036 eV/atom
! **V**: 26.9 A^3/atom
&SYSTEM
  ibrav = 0, nat = 20, ntyp = 3
/
ATOMIC_SPECIES
Hg 200.59 Hg.upf
Ba 137.33 Ba.upf
Pd 106.42 Pd.upf
ATOMIC_POSITIONS angstrom
Hg 8.649 7.868 6.735
Ba 3.460 5.922 1.261
Pd 3.460 3.130 4.587
Hg 3.460 1.375 6.633
Hg 5.189 5.348 4.578
Hg 6.919 6.765 0.335
Pd 1.730 0.000 0.000
Hg 8.649 2.829 2.421
Ba 10.379 4.775 7.896
Ba 6.919 8.538 3.500
Hg 5.189 7.868 6.735
Hg 8.649 5.348 4.578
Hg 6.919 3.931 8.821
Hg 10.379 9.322 2.524
Pd 5.189 0.000 0.000
Hg 5.189 2.829 2.421
Ba 6.919 2.159 5.657
Pd 10.379 7.567 4.569
Pd 6.919 5.015 2.385
Pd 6.919 5.682 6.771
CELL_PARAMETERS angstrom
6.919 0.000 0.000
3.460 8.935 0.388
3.460 1.762 8.768